Entry 1:
Compound: La4CoSe2Br
Source: the Alexandria database
Functional: PBE
Structure: optimized geometry

Unit cell a=7.556 b=4.134 c=7.602 alpha=90.00 beta=108.97 gamma=90.00
Sites, in units of the cell vectors:
La 0.220 0.000 0.213
La 0.258 0.500 0.763
La 0.742 0.500 0.237
La 0.780 0.000 0.787
Co 0.000 0.500 0.000
Se 0.500 0.000 0.000
Se 0.500 0.500 0.500
Br 0.000 0.000 0.500

Output
- Crystal system: monoclinic
- Energy relative to the elements, uncorrected: -1319 meV/atom
- DOS at the Fermi energy: 6.28 states/eV per cell



Entry 2:
Compound: TmHfZnCu
Source: the Alexandria database
Functional: PBE
Structure: optimized geometry

Unit cell a=6.740 b=6.740 c=6.740 alpha=90.00 beta=90.00 gamma=90.00
Sites, in units of the cell vectors:
Tm 0.000 0.000 0.000
Tm 0.000 0.500 0.500
Tm 0.500 0.000 0.500
Tm 0.500 0.500 0.000
Hf 0.000 0.000 0.500
Hf 0.000 0.500 0.000
Hf 0.500 0.000 0.000
Hf 0.500 0.500 0.500
Zn 0.250 0.250 0.250
Zn 0.250 0.750 0.750
Zn 0.750 0.250 0.750
Zn 0.750 0.750 0.250
Cu 0.250 0.250 0.750
Cu 0.250 0.750 0.250
Cu 0.750 0.250 0.250
Cu 0.750 0.750 0.750

Output
- Crystal system: cubic
- Formation energy: -0.15 eV per atom
- DOS at the Fermi energy: 14.45 states/eV per cell



Entry 3:
Compound: TcAgRu2
Source: the Alexandria database
Functional: PBE
Structure: optimized geometry

Unit cell a=2.790 b=4.612 c=4.703 alpha=90.00 beta=90.00 gamma=90.00
Sites, in units of the cell vectors:
Tc 0.000 0.000 0.000
Ag 0.500 0.000 0.500
Ru 0.000 0.500 0.500
Ru 0.500 0.500 0.000

Output
- Crystal system: orthorhombic
- Formation energy: 0.70 eV per atom
- Excess energy over the best structure of this formula in the dataset: 502 meV/atom
- DOS at the Fermi energy: 6.00 states/eV per cell



Entry 4:
Compound: Mg2AlTl
Source: the Alexandria database
Functional: PBE
Structure: optimized geometry

Unit cell a=4.385 b=4.385 c=9.229 alpha=90.00 beta=90.00 gamma=90.00
Sites, in units of the cell vectors:
Mg 0.000 0.000 0.000
Mg 0.000 0.500 0.250
Mg 0.500 0.000 0.750
Mg 0.500 0.500 0.500
Al 0.000 0.000 0.500
Al 0.500 0.500 0.000
Tl 0.000 0.500 0.750
Tl 0.500 0.000 0.250

Output
- Crystal system: tetragonal
- Formation energy: 0.06 eV per atom
- DOS at the Fermi energy: 3.76 states/eV per cell